i:
Here is Fe2OsBr after structural relaxation from Alexandria via LeMat-Bulk. Energies are from PBE.

Unit cell a=4.2195 b=4.2195 c=6.4038 alpha=106.40 beta=106.40 gamma=41.12
Closest atoms and distances in Å follow each position.
Fractional positions:
Fe 0.0000 0.0000 0.0000  3 Fe 2.47-2.56, 1 Br 2.51, 2 Os 2.55
Fe 0.2482 0.2482 0.8189  3 Os 2.39-2.45, 3 Fe 2.47-2.56
Os 0.4929 0.4929 0.6726  5 Fe 2.39-2.55, 2 Br 2.67
Br 0.8686 0.8686 0.3115  1 Fe 2.51, 2 Os 2.67

Its space group is Cm.



ii:
Here is Fe2OsBr after structural relaxation from Alexandria via LeMat-Bulk. Energies are from PBE.

Unit cell a=4.7935 b=4.7935 c=4.7664 alpha=104.29 beta=104.29 gamma=35.41
Closest atoms and distances in Å follow each position.
Fractional positions:
Fe 0.2450 0.2450 0.1949  2 Fe 2.38, 2 Os 2.63
Fe 0.7550 0.7550 0.8051  2 Fe 2.38, 2 Os 2.63
Os 0.5000 0.5000 0.0000  6 Fe 2.63-2.72, 4 Br 2.79, 2 Os 2.92
Br 0.0000 0.0000 0.5000  4 Os 2.79, 6 Fe 2.81-2.97, 2 Br 2.92

Its space group is C2/m.



iii:
Here is Fe2OsBr after structural relaxation from Alexandria via LeMat-Bulk. Energies are from PBE.

Unit cell a=5.0597 b=5.0597 c=5.0597 alpha=136.92 beta=136.92 gamma=62.56
Closest atoms and distances in Å follow each position.
Fractional positions:
Fe 0.0000 0.0000 0.0000  4 Br 2.63, 4 Fe 2.85, 4 Os 2.85
Fe 0.7500 0.2500 0.5000  4 Os 2.63, 4 Br 2.85, 4 Fe 2.85
Os 0.2500 0.7500 0.5000  8 Fe 2.63-2.85, 4 Br 2.85
Br 0.5000 0.5000 0.0000  8 Fe 2.63-2.85, 4 Os 2.85

Its space group is I-4m2.



Stability, lowest: iii



i:
Here is FeOs3Br after structural relaxation from Alexandria via LeMat-Bulk. Energies are from PBE.

Unit cell a=4.4901 b=4.4901 c=4.4901 alpha=90.00 beta=90.00 gamma=90.00
Closest atoms and distances in Å follow each position.
Fractional positions:
Fe 0.0000 0.0000 0.0000  12 Os 3.17
Os 0.0000 0.5000 0.5000  2 Br 2.25
Os 0.5000 0.0000 0.5000  2 Br 2.25
Os 0.5000 0.5000 0.0000  2 Br 2.25
Br 0.5000 0.5000 0.5000  6 Os 2.25

Its space group is Pm-3m.



ii:
Here is FeOs3Br after structural relaxation from Alexandria via LeMat-Bulk. Energies are from PBE.

Unit cell a=4.4874 b=4.4874 c=4.4874 alpha=90.00 beta=90.00 gamma=90.00
Closest atoms and distances in Å follow each position.
Fractional positions:
Fe 0.0000 0.0000 0.0000  6 Os 2.24
Os 0.0000 0.0000 0.5000  2 Fe 2.24
Os 0.0000 0.5000 0.0000  2 Fe 2.24
Os 0.5000 0.0000 0.0000  2 Fe 2.24
Br 0.5000 0.5000 0.5000  12 Os 3.17

Its space group is Pm-3m.



Stability, lowest: i



i:
Here is Fe3PBr after structural relaxation from Alexandria via LeMat-Bulk. Energies are from PBE.

Unit cell a=4.3262 b=4.3262 c=4.3262 alpha=90.00 beta=90.00 gamma=90.00
Closest atoms and distances in Å follow each position.
Fractional positions:
Fe 0.0000 0.0000 0.5000  2 P 2.16
Fe 0.0000 0.5000 0.0000  2 P 2.16
Fe 0.5000 0.0000 0.0000  2 P 2.16
P 0.0000 0.0000 0.0000  6 Fe 2.16
Br 0.5000 0.5000 0.5000  12 Fe 3.06

Its space group is Pm-3m.



ii:
Here is Fe3PBr after structural relaxation from Alexandria via LeMat-Bulk. Energies are from PBE.

Unit cell a=4.4418 b=4.4418 c=4.4418 alpha=90.00 beta=90.00 gamma=90.00
Closest atoms and distances in Å follow each position.
Fractional positions:
Fe 0.0000 0.0000 0.5000  2 Br 2.22
Fe 0.0000 0.5000 0.0000  2 Br 2.22
Fe 0.5000 0.0000 0.0000  2 Br 2.22
P 0.5000 0.5000 0.5000  12 Fe 3.14
Br 0.0000 0.0000 0.0000  6 Fe 2.22

Its space group is Pm-3m.



Stability, lowest: ii



i:
Here is FePBr3 after structural relaxation from Alexandria via LeMat-Bulk. Energies are from PBE.

Unit cell a=5.1574 b=5.1574 c=5.1574 alpha=90.00 beta=90.00 gamma=90.00
Closest atoms and distances in Å follow each position.
Fractional positions:
Fe 0.0000 0.0000 0.0000  12 Br 3.65
P 0.5000 0.5000 0.5000  6 Br 2.58
Br 0.0000 0.5000 0.5000  2 P 2.58
Br 0.5000 0.0000 0.5000  2 P 2.58
Br 0.5000 0.5000 0.0000  2 P 2.58

Its space group is Pm-3m.



ii:
Here is FePBr3 after structural relaxation from Alexandria via LeMat-Bulk. Energies are from PBE.

Unit cell a=4.8100 b=4.8100 c=4.8100 alpha=90.00 beta=90.00 gamma=90.00
Closest atoms and distances in Å follow each position.
Fractional positions:
Fe 0.0000 0.0000 0.0000  6 Br 2.41
P 0.5000 0.5000 0.5000  12 Br 3.40
Br 0.0000 0.0000 0.5000  2 Fe 2.41
Br 0.0000 0.5000 0.0000  2 Fe 2.41
Br 0.5000 0.0000 0.0000  2 Fe 2.41

Its space group is Pm-3m.



Stability, lowest: ii



i:
Here is Fe2PBr after structural relaxation from Alexandria via LeMat-Bulk. Energies are from PBE.

Unit cell a=6.3346 b=6.3346 c=6.3346 alpha=148.43 beta=148.43 gamma=45.24
Closest atoms and distances in Å follow each position.
Fractional positions:
Fe 0.0000 0.0000 0.0000  4 Br 2.44
Fe 0.7500 0.2500 0.5000  4 P 2.44
P 0.2500 0.7500 0.5000  4 Fe 2.44
Br 0.5000 0.5000 0.0000  4 Fe 2.44

Its space group is I-4m2.



ii:
Here is Fe2PBr after structural relaxation from Alexandria via LeMat-Bulk. Energies are from PBE.

Unit cell a=2.9580 b=3.7944 c=6.3077 alpha=90.00 beta=90.00 gamma=90.00
Closest atoms and distances in Å follow each position.
Fractional positions:
Fe 0.0000 0.0000 0.0000  4 Br 2.41
Fe 0.5000 0.0000 0.5000  4 P 2.41
P 0.0000 0.5000 0.5000  4 Fe 2.41
Br 0.5000 0.5000 0.0000  4 Fe 2.41

Its space group is Pmmm.



iii:
Here is Fe2PBr after structural relaxation from Alexandria via LeMat-Bulk. Energies are from PBE.

Unit cell a=3.1051 b=3.1051 c=7.3284 alpha=90.00 beta=90.00 gamma=90.00
Closest atoms and distances in Å follow each position.
Fractional positions:
Fe 0.0000 0.0000 0.0000  1 P 2.43, 4 Br 2.68, 4 Fe 2.69
Fe 0.5000 0.5000 0.2130  4 P 2.36
P 0.0000 0.0000 0.3311  5 Fe 2.36-2.43
Br 0.5000 0.5000 0.7894  4 Fe 2.68

Its space group is P4mm.



Stability, lowest: i



i:
Here is Fe2PSeBr after structural relaxation from Alexandria via LeMat-Bulk. Energies are from PBE.

Unit cell a=4.4047 b=4.4047 c=5.7958 alpha=90.00 beta=90.00 gamma=90.00
Closest atoms and distances in Å follow each position.
Fractional positions:
Fe 0.0000 0.5000 0.0000  2 Br 2.20
Fe 0.5000 0.0000 0.0000  2 Br 2.20
P 0.0000 0.0000 0.5000  4 Se 3.11
Se 0.5000 0.5000 0.5000  2 Br 2.90, 4 P 3.11
Br 0.5000 0.5000 0.0000  4 Fe 2.20

Its space group is P4/mmm.



ii:
Here is Fe2PSeBr after structural relaxation from Alexandria via LeMat-Bulk. Energies are from PBE.

Unit cell a=4.4881 b=4.4881 c=5.1476 alpha=90.00 beta=90.00 gamma=90.00
Closest atoms and distances in Å follow each position.
Fractional positions:
Fe 0.0000 0.5000 0.0000  2 Br 2.24
Fe 0.5000 0.0000 0.0000  2 Br 2.24
P 0.0000 0.0000 0.5000  2 Br 2.57
Se 0.5000 0.5000 0.5000  4 P 3.17, 8 Fe 3.41
Br 0.0000 0.0000 0.0000  4 Fe 2.24

Its space group is P4/mmm.



Stability, lowest: i



i:
Here is FePbBr after structural relaxation from Alexandria via LeMat-Bulk. Energies are from PBE.

Unit cell a=3.4605 b=3.4605 c=7.6594 alpha=90.00 beta=90.00 gamma=120.00
Closest atoms and distances in Å follow each position.
Fractional positions:
Fe 0.0000 0.0000 0.0000  3 Br 2.52
Pb 0.6667 0.3333 0.7116  3 Fe 2.98
Br 0.3333 0.6667 0.2007  3 Fe 2.52

Its space group is P3m1.



ii:
Here is FePbBr after structural relaxation from Alexandria via LeMat-Bulk. Energies are from PBE.

Unit cell a=4.7632 b=4.7632 c=4.7632 alpha=60.00 beta=60.00 gamma=60.00
Closest atoms and distances in Å follow each position.
Fractional positions:
Fe 0.0000 0.0000 0.0000  4 Br 2.92, 4 Pb 2.92
Pb 0.2500 0.2500 0.2500  4 Fe 2.92
Br 0.7500 0.7500 0.7500  4 Fe 2.92

Its space group is F-43m.



Stability, lowest: ii



i:
Here is FePbBr after structural relaxation from Alexandria via LeMat-Bulk. Energies are from PBE.

Unit cell a=7.5493 b=7.5493 c=7.5493 alpha=155.15 beta=155.15 gamma=35.42
Closest atoms and distances in Å follow each position.
Fractional positions:
Fe 0.0000 0.0000 0.0000  4 Br 2.70
Pb 0.3521 0.3521 0.0000  4 Fe 3.13, 4 Pb 3.25
Br 0.5981 0.5981 0.0000  4 Fe 2.70

Its space group is I4mm.



ii:
Here is FePbBr after structural relaxation from Alexandria via LeMat-Bulk. Energies are from PBE.

Unit cell a=7.6683 b=7.5327 c=3.2885 alpha=79.82 beta=75.21 gamma=24.97
Closest atoms and distances in Å follow each position.
Fractional positions:
Fe 0.0000 0.0000 0.0000  2 Br 2.55
Pb 0.6468 0.6468 0.3532  4 Fe 2.98-3.31, 4 Pb 3.29
Br 0.3990 0.3990 0.6010  2 Fe 2.55

Its space group is Fmm2.



Stability, lowest: i